First-principles (PBE+U) data for crystalline Mn3Cu5O12 at its relaxed geometry, as listed in the Alexandria database.

Summary:
Electronic total energy (eV per atom): -5.786
SG: Ia-3d (230)
Total magnetic moment (Bohr magnetons per cell): 39.69

Structure (POSCAR):
```
Mn3Cu5O12
1.0
-6.052 6.052 6.052
6.052 -6.052 6.052
6.052 6.052 -6.052
Mn Cu O
12 20 48
Direct
0.125 0.250 0.375 Mn
0.125 0.375 0.750 Mn
0.250 0.375 0.125 Mn
0.250 0.875 0.625 Mn
0.375 0.125 0.250 Mn
0.375 0.750 0.125 Mn
0.625 0.250 0.875 Mn
0.625 0.875 0.750 Mn
0.750 0.125 0.375 Mn
0.750 0.625 0.875 Mn
0.875 0.625 0.250 Mn
0.875 0.750 0.625 Mn
0.000 0.000 0.000 Cu
0.000 0.000 0.500 Cu
0.000 0.500 0.000 Cu
0.000 0.500 0.500 Cu
0.125 0.750 0.875 Cu
0.125 0.875 0.250 Cu
0.250 0.125 0.875 Cu
0.250 0.625 0.375 Cu
0.375 0.250 0.625 Cu
0.375 0.625 0.750 Cu
0.500 0.000 0.000 Cu
0.500 0.000 0.500 Cu
0.500 0.500 0.000 Cu
0.500 0.500 0.500 Cu
0.625 0.375 0.250 Cu
0.625 0.750 0.375 Cu
0.750 0.375 0.625 Cu
0.750 0.875 0.125 Cu
0.875 0.125 0.750 Cu
0.875 0.250 0.125 Cu
0.031 0.196 0.148 O
0.031 0.334 0.883 O
0.048 0.696 0.666 O
0.048 0.852 0.383 O
0.117 0.648 0.452 O
0.117 0.969 0.666 O
0.148 0.031 0.196 O
0.148 0.617 0.952 O
0.166 0.196 0.548 O
0.166 0.469 0.617 O
0.196 0.148 0.031 O
0.196 0.548 0.166 O
0.304 0.334 0.952 O
0.304 0.469 0.352 O
0.334 0.883 0.031 O
0.334 0.952 0.304 O
0.352 0.304 0.469 O
0.352 0.548 0.883 O
0.383 0.048 0.852 O
0.383 0.834 0.531 O
0.452 0.117 0.648 O
0.452 0.834 0.804 O
0.469 0.352 0.304 O
0.469 0.617 0.166 O
0.531 0.383 0.834 O
0.531 0.648 0.696 O
0.548 0.166 0.196 O
0.548 0.883 0.352 O
0.617 0.166 0.469 O
0.617 0.952 0.148 O
0.648 0.452 0.117 O
0.648 0.696 0.531 O
0.666 0.048 0.696 O
0.666 0.117 0.969 O
0.696 0.531 0.648 O
0.696 0.666 0.048 O
0.804 0.452 0.834 O
0.804 0.852 0.969 O
0.834 0.531 0.383 O
0.834 0.804 0.452 O
0.852 0.383 0.048 O
0.852 0.969 0.804 O
0.883 0.031 0.334 O
0.883 0.352 0.548 O
0.952 0.148 0.617 O
0.952 0.304 0.334 O
0.969 0.666 0.117 O
0.969 0.804 0.852 O
```